Entry 1:
Below is a relaxed Ca4PdN crystal, with properties calculated at the PBE-GGA level.

Computed properties:
ΔE_f (raw) = -3.4 eV/f.u.
Crystal system = monoclinic

Unit cell a=8.5110 b=14.2377 c=6.3386 alpha=90.00 beta=126.60 gamma=90.00
Space group C2/c (No. 15)
Inequivalent atoms, fractional coordinates:
Ca (0.1388, 0.1962, 0.1483) (multiplicity 8)
Ca (0.2354, 0.0367, 0.7067) (multiplicity 8)
Pd (0.0000, 0.3669, 0.7500) (multiplicity 4)
N (0.0000, 0.0724, 0.2500) (multiplicity 4)

=====

Entry 2:
Below is a relaxed Rb2NaH4Au crystal, with properties calculated at the PBE-GGA level.

Computed properties:
Energy = -167.68 eV for the cell shown
Crystal system = orthorhombic

Unit cell a=5.4067 b=11.9622 c=22.0310 alpha=90.00 beta=90.00 gamma=90.00
Space group Fddd (No. 70, origin choice 2)
Inequivalent atoms, fractional coordinates:
Rb (0.1250, 0.1250, 0.2996) (multiplicity 16)
Na (0.1250, 0.1250, 0.1250) (multiplicity 8)
H (0.0591, 0.2842, 0.8284) (multiplicity 32)
Au (0.1250, 0.1250, 0.6250) (multiplicity 8)

=====

Entry 3:
Below is a relaxed PmTm2Cd crystal, with properties calculated at the PBE-GGA level.

Computed properties:
Excess energy over the best structure of this formula in the dataset = 0.0000 eV per atom
Crystal system = tetragonal
Formation enthalpy at 0 K = -0.15 eV/atom

Unit cell a=3.5788 b=3.5788 c=9.0100 alpha=90.00 beta=90.00 gamma=90.00
Space group P4/mmm (No. 123)
Inequivalent atoms, fractional coordinates:
Pm (0.0000, 0.0000, 0.0000) (multiplicity 1)
Tm (0.5000, 0.5000, 0.2785) (multiplicity 2)
Cd (0.0000, 0.0000, 0.5000) (multiplicity 1)

=====

Entry 4:
Below is a relaxed CaSn4S9 crystal, with properties calculated at the PBE-GGA level.

Computed properties:
ΔE_f (raw) = -7.3 eV/f.u.
Excess energy over the best structure of this formula in the dataset = 0.0000 eV per atom
Crystal system = orthorhombic

Unit cell a=3.8412 b=22.7859 c=9.8318 alpha=90.00 beta=90.00 gamma=90.00
Space group Pmmn (No. 59, origin choice 2)
Inequivalent atoms, fractional coordinates:
Ca (0.2500, 0.2500, 0.0930) (multiplicity 2)
Sn (0.2500, 0.6017, 0.6772) (multiplicity 4)
Sn (0.2500, 0.6541, 0.2757) (multiplicity 4)
S (0.2500, 0.0359, 0.3464) (multiplicity 4)
S (0.2500, 0.0989, 0.8078) (multiplicity 4)
S (0.2500, 0.6621, 0.8738) (multiplicity 4)
S (0.2500, 0.6819, 0.5102) (multiplicity 4)
S (0.2500, 0.7500, 0.1478) (multiplicity 2)

=====

Entry 5:
Below is a relaxed Al2CuSb crystal, with properties calculated at the PBE-GGA level.

Computed properties:
ΔE_f (raw) = 0.5 eV/f.u.
Crystal system = trigonal

Unit cell a=3.2111 b=3.2111 c=25.1220 alpha=90.00 beta=90.00 gamma=120.00
Space group R-3m (No. 166, hexagonal axes)
Inequivalent atoms, fractional coordinates:
Al (0.0000, 0.0000, 0.2345) (multiplicity 6)
Cu (0.0000, 0.0000, 0.5000) (multiplicity 3)
Sb (0.0000, 0.0000, 0.0000) (multiplicity 3)

=====

Entry 6:
Below is a relaxed CeTmHfTh crystal, with properties calculated at the PBE-GGA level.

Computed properties:
Crystal system = cubic
Formation enthalpy at 0 K = 0.22 eV/atom

Unit cell a=7.6710 b=7.6710 c=7.6710 alpha=90.00 beta=90.00 gamma=90.00
Space group F-43m (No. 216)
Inequivalent atoms, fractional coordinates:
Ce (0.0000, 0.0000, 0.0000) (multiplicity 4)
Tm (0.2500, 0.2500, 0.7500) (multiplicity 4)
Hf (0.2500, 0.2500, 0.2500) (multiplicity 4)
Th (0.0000, 0.0000, 0.5000) (multiplicity 4)

=====

Entry 7:
Below is a relaxed Nd3Tm2PaP6 crystal, with properties calculated at the PBE-GGA level.

Computed properties:
Crystal system = monoclinic
Formation enthalpy at 0 K = -1.54 eV/atom

Unit cell a=7.0075 b=12.1386 c=7.0519 alpha=90.00 beta=109.30 gamma=90.00
Space group C2/m (No. 12)
Inequivalent atoms, fractional coordinates:
Nd (0.0000, 0.0000, 0.0000) (multiplicity 2)
Nd (0.0000, 0.3322, 0.0000) (multiplicity 4)
Tm (0.0000, 0.1664, 0.5000) (multiplicity 4)
Pa (0.0000, 0.5000, 0.5000) (multiplicity 2)
P (0.2427, 0.3352, 0.7343) (multiplicity 8)
P (0.2488, 0.0000, 0.7338) (multiplicity 4)

=====

Entry 8:
Below is a relaxed KSbSBr2 crystal, with properties calculated at the PBE-GGA level.

Computed properties:
ΔE_f (raw) = -3.8 eV/f.u.
Crystal system = tetragonal

Unit cell a=5.7968 b=5.7968 c=5.0845 alpha=90.00 beta=90.00 gamma=90.00
Space group P4/mmm (No. 123)
Inequivalent atoms, fractional coordinates:
K (0.0000, 0.0000, 0.0000) (multiplicity 1)
Sb (0.5000, 0.5000, 0.5000) (multiplicity 1)
S (0.5000, 0.5000, 0.0000) (multiplicity 1)
Br (0.0000, 0.5000, 0.5000) (multiplicity 2)

=====

Entry 9:
Below is a relaxed CaNbCl6 crystal, with properties calculated at the PBE-GGA level.

Computed properties:
ΔE_f (raw) = -12.8 eV/f.u.
Excess energy over the best structure of this formula in the dataset = 0.0119 eV per atom
Crystal system = trigonal

Unit cell a=6.5723 b=6.5723 c=17.8555 alpha=90.00 beta=90.00 gamma=120.00
Space group R-3 (No. 148, hexagonal axes)
Inequivalent atoms, fractional coordinates:
Ca (0.0000, 0.0000, 0.0000) (multiplicity 3)
Nb (0.0000, 0.0000, 0.5000) (multiplicity 3)
Cl (0.0011, 0.6969, 0.5785) (multiplicity 18)

=====

Entry 10:
Below is a relaxed SrY2Cd2 crystal, with properties calculated at the PBE-GGA level.

Computed properties:
Excess energy over the best structure of this formula in the dataset = 0.0000 eV per atom
Crystal system = tetragonal
Formation enthalpy at 0 K = -0.17 eV/atom

Unit cell a=9.2384 b=9.2384 c=3.5174 alpha=90.00 beta=90.00 gamma=90.00
Space group P4/mbm (No. 127)
Inequivalent atoms, fractional coordinates:
Sr (0.0000, 0.0000, 0.0000) (multiplicity 2)
Y (0.1271, 0.3729, 0.0000) (multiplicity 4)
Cd (0.1698, 0.6698, 0.5000) (multiplicity 4)

=====

Entry 11:
Below is a relaxed Mg2ReMo crystal, with properties calculated at the PBE-GGA level.

Computed properties:
Excess energy over the best structure of this formula in the dataset = 0.0828 eV per atom
Crystal system = orthorhombic
Formation enthalpy at 0 K = 0.21 eV/atom

Unit cell a=3.1542 b=4.6045 c=9.5190 alpha=90.00 beta=90.00 gamma=90.00
Space group Cmm2 (No. 35)
Inequivalent atoms, fractional coordinates:
Mg (0.0000, 0.0000, 0.0000) (multiplicity 2)
Mg (0.0000, 0.5000, 0.2813) (multiplicity 2)
Re (0.0000, 0.0000, 0.5261) (multiplicity 2)
Mo (0.0000, 0.5000, 0.7473) (multiplicity 2)

=====

Entry 12:
Below is a relaxed La5HoBi6 crystal, with properties calculated at the PBE-GGA level.

Computed properties:
Crystal system = monoclinic
Formation enthalpy at 0 K = -1.01 eV/atom

Unit cell a=8.0831 b=14.0018 c=8.0844 alpha=90.00 beta=109.51 gamma=90.00
Space group C2/m (No. 12)
Inequivalent atoms, fractional coordinates:
La (0.0000, 0.0000, 0.0000) (multiplicity 2)
La (0.0000, 0.1658, 0.5000) (multiplicity 4)
La (0.0000, 0.3309, 0.0000) (multiplicity 4)
Ho (0.0000, 0.5000, 0.5000) (multiplicity 2)
Bi (0.2431, 0.5000, 0.2528) (multiplicity 4)
Bi (0.2444, 0.3369, 0.7446) (multiplicity 8)

=====

no.,V (Å³ per cell)
1,616.6
2,1424.9
3,115.4
4,860.5
5,224.3
6,451.4
7,566.1
8,170.9
9,667.9
10,300.2
11,138.2
12,862.4